No. 1
Computed, not measured: crystalline Cs3NdDy3Te8 at its relaxed geometry at the PBE level of DFT.

a = 10.531 Å, b = 10.531 Å, c = 10.531 Å
α = 50.14°, β = 50.14°, γ = 50.14°
Fractional coordinates of all 15 atoms:
Cs (0.000, 0.500, 0.500)
Cs (0.500, 0.000, 0.500)
Cs (0.500, 0.500, 0.000)
Nd (0.500, 0.500, 0.500)
Dy (0.000, 0.000, 0.500)
Dy (0.000, 0.500, 0.000)
Dy (0.500, 0.000, 0.000)
Te (0.221, 0.736, 0.736)
Te (0.230, 0.230, 0.230)
Te (0.264, 0.264, 0.779)
Te (0.264, 0.779, 0.264)
Te (0.736, 0.221, 0.736)
Te (0.736, 0.736, 0.221)
Te (0.770, 0.770, 0.770)
Te (0.779, 0.264, 0.264)

DFT total energy: -66.19 eV/cell
density of states at the Fermi level: 0.530 states/eV per atom
raw formation energy: -1.33 eV/atom

No. 2
Computed, not measured: crystalline Cs3NdDy2Te6 at its relaxed geometry at the PBE level of DFT.

a = 7.960 Å, b = 7.960 Å, c = 9.317 Å
α = 98.19°, β = 98.19°, γ = 120.00°
Fractional coordinates of all 12 atoms:
Cs (0.000, 0.000, 0.000)
Cs (0.335, 0.665, 0.000)
Cs (0.665, 0.335, 0.000)
Nd (0.500, 0.500, 0.500)
Dy (0.167, 0.833, 0.500)
Dy (0.833, 0.167, 0.500)
Te (0.095, 0.436, 0.308)
Te (0.223, 0.223, 0.691)
Te (0.436, 0.095, 0.308)
Te (0.564, 0.905, 0.692)
Te (0.777, 0.777, 0.309)
Te (0.905, 0.564, 0.692)

DFT total energy: -52.11 eV/cell
raw formation energy: -1.39 eV/atom

No. 3
Computed, not measured: crystalline Cs3Nd2DyTe6 at its relaxed geometry at the PBE level of DFT.

a = 8.034 Å, b = 8.034 Å, c = 9.333 Å
α = 98.25°, β = 98.25°, γ = 120.01°
Fractional coordinates of all 12 atoms:
Cs (0.000, 0.000, 0.000)
Cs (0.331, 0.669, 0.000)
Cs (0.669, 0.331, 0.000)
Nd (0.166, 0.834, 0.500)
Nd (0.834, 0.166, 0.500)
Dy (0.500, 0.500, 0.500)
Te (0.110, 0.436, 0.307)
Te (0.239, 0.239, 0.694)
Te (0.436, 0.110, 0.307)
Te (0.564, 0.890, 0.693)
Te (0.761, 0.761, 0.306)
Te (0.890, 0.564, 0.693)

DFT total energy: -52.39 eV/cell
raw formation energy: -1.40 eV/atom

No. 4
Computed, not measured: crystalline Cs2DyNpO6 at its relaxed geometry at the PBE level of DFT.

a = 11.097 Å, b = 11.097 Å, c = 11.097 Å
α = 34.05°, β = 34.05°, γ = 34.05°
Fractional coordinates of all 20 atoms:
Cs (0.131, 0.131, 0.131)
Cs (0.275, 0.275, 0.275)
Cs (0.725, 0.725, 0.725)
Cs (0.869, 0.869, 0.869)
Dy (0.401, 0.401, 0.401)
Dy (0.599, 0.599, 0.599)
Np (0.000, 0.000, 0.000)
Np (0.500, 0.500, 0.500)
O (0.185, 0.594, 0.594)
O (0.188, 0.188, 0.734)
O (0.188, 0.734, 0.188)
O (0.266, 0.812, 0.812)
O (0.406, 0.406, 0.815)
O (0.406, 0.815, 0.406)
O (0.594, 0.185, 0.594)
O (0.594, 0.594, 0.185)
O (0.734, 0.188, 0.188)
O (0.812, 0.266, 0.812)
O (0.812, 0.812, 0.266)
O (0.815, 0.406, 0.406)

DFT total energy: -149.98 eV/cell
raw formation energy: -2.60 eV/atom

No. 5
Computed, not measured: crystalline Cs3DyNp2O9 at its relaxed geometry at the PBE level of DFT.

a = 6.221 Å, b = 6.221 Å, c = 7.619 Å
α = 90.00°, β = 90.00°, γ = 120.00°
Fractional coordinates of all 15 atoms:
Cs (0.000, 0.000, 0.000)
Cs (0.333, 0.667, 0.664)
Cs (0.667, 0.333, 0.336)
Dy (0.000, 0.000, 0.500)
Np (0.333, 0.667, 0.166)
Np (0.667, 0.333, 0.834)
O (0.000, 0.500, 0.000)
O (0.178, 0.355, 0.320)
O (0.178, 0.822, 0.320)
O (0.355, 0.178, 0.680)
O (0.500, 0.000, 0.000)
O (0.500, 0.500, 0.000)
O (0.645, 0.822, 0.320)
O (0.822, 0.178, 0.680)
O (0.822, 0.645, 0.680)

DFT total energy: -116.89 eV/cell
density of states at the Fermi level: 0.017 states/eV per atom
raw formation energy: -2.61 eV/atom

No. 6
Computed, not measured: crystalline Cs3DyNp2S6 at its relaxed geometry at the PBE level of DFT.

a = 7.161 Å, b = 7.161 Å, c = 8.409 Å
α = 98.16°, β = 98.16°, γ = 120.00°
Fractional coordinates of all 12 atoms:
Cs (0.000, 0.000, 0.000)
Cs (0.334, 0.666, 0.000)
Cs (0.666, 0.334, 0.000)
Dy (0.500, 0.500, 0.500)
Np (0.167, 0.833, 0.500)
Np (0.833, 0.167, 0.500)
S (0.107, 0.440, 0.319)
S (0.227, 0.227, 0.681)
S (0.440, 0.107, 0.319)
S (0.560, 0.893, 0.681)
S (0.773, 0.773, 0.319)
S (0.893, 0.560, 0.681)

DFT total energy: -75.78 eV/cell
density of states at the Fermi level: 1.877 states/eV per atom
raw formation energy: -1.50 eV/atom

No. 7
Computed, not measured: crystalline Cs3Dy3NpS8 at its relaxed geometry at the PBE level of DFT.

a = 9.447 Å, b = 9.447 Å, c = 9.447 Å
α = 50.91°, β = 50.91°, γ = 50.91°
Fractional coordinates of all 15 atoms:
Cs (0.000, 0.500, 0.500)
Cs (0.500, 0.000, 0.500)
Cs (0.500, 0.500, 0.000)
Dy (0.000, 0.000, 0.500)
Dy (0.000, 0.500, 0.000)
Dy (0.500, 0.000, 0.000)
Np (0.500, 0.500, 0.500)
S (0.226, 0.226, 0.226)
S (0.231, 0.723, 0.723)
S (0.277, 0.277, 0.769)
S (0.277, 0.769, 0.277)
S (0.723, 0.231, 0.723)
S (0.723, 0.723, 0.231)
S (0.769, 0.277, 0.277)
S (0.774, 0.774, 0.774)

DFT total energy: -88.51 eV/cell
density of states at the Fermi level: 0.227 states/eV per atom
raw formation energy: -1.75 eV/atom

No. 8
Computed, not measured: crystalline CsDyNpS4 at its relaxed geometry at the PBE level of DFT.

a = 8.552 Å, b = 8.552 Å, c = 8.552 Å
α = 119.90°, β = 119.25°, γ = 90.74°
Fractional coordinates of all 14 atoms:
Cs (0.377, 0.127, 0.250)
Cs (0.623, 0.873, 0.750)
Dy (0.000, 0.500, 0.500)
Dy (0.500, 0.500, 0.000)
Np (0.000, 0.000, 0.500)
Np (0.000, 0.500, 0.000)
S (0.174, 0.729, 0.445)
S (0.215, 0.271, 0.945)
S (0.224, 0.271, 0.547)
S (0.224, 0.676, 0.953)
S (0.776, 0.324, 0.047)
S (0.776, 0.729, 0.453)
S (0.785, 0.729, 0.055)
S (0.826, 0.271, 0.555)

DFT total energy: -90.69 eV/cell
density of states at the Fermi level: 1.278 states/eV per atom
raw formation energy: -1.49 eV/atom

No. 9
Computed, not measured: crystalline Cs2DyNpS4 at its relaxed geometry at the PBE level of DFT.

a = 7.172 Å, b = 4.133 Å, c = 8.404 Å
α = 90.00°, β = 106.54°, γ = 90.00°
Fractional coordinates of all 8 atoms:
Cs (0.000, 0.000, 0.000)
Cs (0.500, 0.500, 0.000)
Dy (0.000, 0.500, 0.500)
Np (0.500, 0.000, 0.500)
S (0.224, 0.000, 0.682)
S (0.272, 0.500, 0.320)
S (0.728, 0.500, 0.680)
S (0.776, 0.000, 0.318)

DFT total energy: -48.37 eV/cell
density of states at the Fermi level: 0.991 states/eV per atom
raw formation energy: -1.58 eV/atom

No. 10
Computed, not measured: crystalline Cs4Dy3NpSe8 at its relaxed geometry at the PBE level of DFT.

a = 9.724 Å, b = 9.724 Å, c = 9.724 Å
α = 52.40°, β = 52.40°, γ = 52.40°
Fractional coordinates of all 16 atoms:
Cs (0.000, 0.000, 0.000)
Cs (0.000, 0.500, 0.500)
Cs (0.500, 0.000, 0.500)
Cs (0.500, 0.500, 0.000)
Dy (0.000, 0.000, 0.500)
Dy (0.000, 0.500, 0.000)
Dy (0.500, 0.000, 0.000)
Np (0.500, 0.500, 0.500)
Se (0.224, 0.731, 0.731)
Se (0.228, 0.228, 0.228)
Se (0.269, 0.269, 0.776)
Se (0.269, 0.776, 0.269)
Se (0.731, 0.224, 0.731)
Se (0.731, 0.731, 0.224)
Se (0.772, 0.772, 0.772)
Se (0.776, 0.269, 0.269)

DFT total energy: -83.55 eV/cell
density of states at the Fermi level: 0.327 states/eV per atom
raw formation energy: -1.59 eV/atom

No. 11
Computed, not measured: crystalline Cs2DyNpSe4 at its relaxed geometry at the PBE level of DFT.

a = 7.475 Å, b = 4.301 Å, c = 8.725 Å
α = 90.00°, β = 106.55°, γ = 90.00°
Fractional coordinates of all 8 atoms:
Cs (0.000, 0.000, 0.000)
Cs (0.500, 0.500, 0.000)
Dy (0.000, 0.500, 0.500)
Np (0.500, 0.000, 0.500)
Se (0.224, 0.000, 0.686)
Se (0.269, 0.500, 0.315)
Se (0.731, 0.500, 0.685)
Se (0.776, 0.000, 0.314)

DFT total energy: -44.93 eV/cell
density of states at the Fermi level: 0.931 states/eV per atom
raw formation energy: -1.47 eV/atom

No. 12
Computed, not measured: crystalline Cs3Dy2NpSe6 at its relaxed geometry at the PBE level of DFT.

a = 7.445 Å, b = 7.445 Å, c = 8.730 Å
α = 98.14°, β = 98.14°, γ = 119.91°
Fractional coordinates of all 12 atoms:
Cs (0.000, 0.000, 0.000)
Cs (0.333, 0.667, 0.000)
Cs (0.667, 0.333, 0.000)
Dy (0.166, 0.834, 0.500)
Dy (0.834, 0.166, 0.500)
Np (0.500, 0.500, 0.500)
Se (0.100, 0.438, 0.314)
Se (0.224, 0.224, 0.686)
Se (0.438, 0.100, 0.314)
Se (0.562, 0.900, 0.686)
Se (0.776, 0.776, 0.314)
Se (0.900, 0.562, 0.686)

DFT total energy: -64.21 eV/cell
density of states at the Fermi level: 0.532 states/eV per atom
raw formation energy: -1.55 eV/atom

Among the records above, which one has the highest raw formation energy?
Cs3NdDy3Te8